Below is a relaxed Pt2W crystal, with properties calculated at the PBE level.

Unit cell a=3.960 b=11.976 c=3.961 alpha=90.00 beta=90.00 gamma=90.00
Sites, in units of the cell vectors:
Pt1 0.000 0.074 0.250
Pt2 0.000 0.247 0.750
Pt3 0.000 0.753 0.250
Pt4 0.000 0.926 0.750
Pt5 0.500 0.253 0.250
Pt6 0.500 0.426 0.750
Pt7 0.500 0.574 0.250
Pt8 0.500 0.747 0.750
W1 0.000 0.416 0.250
W2 0.000 0.584 0.750
W3 0.500 0.084 0.750
W4 0.500 0.916 0.250

Calculated values
Symmetry: Cmcm, No. 63
Raw total energy (eV for the cell shown): -103.04
Density (Mg/m³): 20.30

=====

Below is a relaxed Pm2Sc3 crystal, with properties calculated at the PBE level.

Unit cell a=6.230 b=6.230 c=9.826 alpha=90.00 beta=90.00 gamma=130.73
Sites, in units of the cell vectors:
Pm1 0.186 0.814 0.878
Pm2 0.314 0.686 0.378
Pm3 0.686 0.314 0.622
Pm4 0.814 0.186 0.122
Sc1 0.000 0.000 0.500
Sc2 0.092 0.908 0.178
Sc3 0.408 0.592 0.678
Sc4 0.500 0.500 0.000
Sc5 0.592 0.408 0.322
Sc6 0.908 0.092 0.822

Calculated values
Symmetry: Cmce, No. 64
Raw total energy (eV for the cell shown): -55.59
Density (Mg/m³): 4.88

=====

Below is a relaxed RbSr crystal, with properties calculated at the PBE level.

Unit cell a=12.704 b=12.704 c=12.704 alpha=90.00 beta=90.00 gamma=90.00
Sites, in units of the cell vectors:
Rb1 0.000 0.250 0.500
Rb2 0.000 0.750 0.500
Rb3 0.250 0.500 0.000
Rb4 0.500 0.000 0.250
Rb5 0.500 0.000 0.750
Rb6 0.750 0.500 0.000
Sr1 0.000 0.500 0.250
Sr2 0.000 0.500 0.750
Sr3 0.250 0.000 0.500
Sr4 0.500 0.250 0.000
Sr5 0.500 0.750 0.000
Sr6 0.750 0.000 0.500

Calculated values
Symmetry: Pm-3n, No. 223
Raw total energy (eV for the cell shown): -7.20
Density (Mg/m³): 0.84

=====

Below is a relaxed LiAlAu14 crystal, with properties calculated at the PBE level.

Unit cell a=5.934 b=5.934 c=7.996 alpha=90.00 beta=90.00 gamma=90.00
Sites, in units of the cell vectors:
Li1 0.000 0.000 0.000
Al1 0.500 0.500 0.000
Au1 0.000 0.000 0.500
Au2 0.000 0.500 0.000
Au3 0.000 0.500 0.500
Au4 0.252 0.252 0.242
Au5 0.252 0.252 0.758
Au6 0.252 0.748 0.242
Au7 0.252 0.748 0.758
Au8 0.500 0.000 0.000
Au9 0.500 0.000 0.500
Au10 0.500 0.500 0.500
Au11 0.748 0.252 0.242
Au12 0.748 0.252 0.758
Au13 0.748 0.748 0.242
Au14 0.748 0.748 0.758

Calculated values
Symmetry: P4/mmm, No. 123
Raw total energy (eV for the cell shown): -53.83
Density (Mg/m³): 16.46

=====

Below is a relaxed ErNiHg crystal, with properties calculated at the PBE level.

Unit cell a=12.451 b=3.897 c=5.105 alpha=90.00 beta=101.01 gamma=90.00
Sites, in units of the cell vectors:
Er1 0.135 0.000 0.315
Er2 0.365 0.500 0.685
Er3 0.635 0.500 0.315
Er4 0.865 0.000 0.685
Ni1 0.231 0.000 0.855
Ni2 0.269 0.500 0.145
Ni3 0.731 0.500 0.855
Ni4 0.769 0.000 0.145
Hg1 0.076 0.500 0.778
Hg2 0.424 0.000 0.222
Hg3 0.576 0.000 0.778
Hg4 0.924 0.500 0.222

Calculated values
Symmetry: C2/m, No. 12
Raw total energy (eV for the cell shown): -47.31
Density (Mg/m³): 11.65

=====

Below is a relaxed Ca5Mg12Zr3 crystal, with properties calculated at the PBE level.

Unit cell a=15.580 b=15.580 c=15.580 alpha=109.47 beta=109.47 gamma=109.47
Sites, in units of the cell vectors:
Ca1 0.000 0.000 0.000
Ca2 0.000 0.000 0.500
Ca3 0.000 0.500 0.000
Ca4 0.000 0.500 0.500
Ca5 0.125 0.750 0.875
Ca6 0.125 0.875 0.250
Ca7 0.250 0.125 0.875
Ca8 0.250 0.625 0.375
Ca9 0.375 0.250 0.625
Ca10 0.375 0.625 0.750
Ca11 0.500 0.000 0.000
Ca12 0.500 0.000 0.500
Ca13 0.500 0.500 0.000
Ca14 0.500 0.500 0.500
Ca15 0.625 0.375 0.250
Ca16 0.625 0.750 0.375
Ca17 0.750 0.375 0.625
Ca18 0.750 0.875 0.125
Ca19 0.875 0.125 0.750
Ca20 0.875 0.250 0.125
Mg1 0.069 0.657 0.424
Mg2 0.069 0.911 0.645
Mg3 0.076 0.734 0.645
Mg4 0.076 0.843 0.431
Mg5 0.089 0.234 0.157
Mg6 0.089 0.355 0.931
Mg7 0.145 0.234 0.576
Mg8 0.145 0.411 0.569
Mg9 0.157 0.089 0.234
Mg10 0.157 0.569 0.924
Mg11 0.234 0.157 0.089
Mg12 0.234 0.576 0.145
Mg13 0.266 0.355 0.924
Mg14 0.266 0.411 0.343
Mg15 0.343 0.266 0.411
Mg16 0.343 0.576 0.931
Mg17 0.355 0.924 0.266
Mg18 0.355 0.931 0.089
Mg19 0.411 0.343 0.266
Mg20 0.411 0.569 0.145
Mg21 0.424 0.069 0.657
Mg22 0.424 0.855 0.766
Mg23 0.431 0.076 0.843
Mg24 0.431 0.855 0.589
Mg25 0.569 0.145 0.411
Mg26 0.569 0.924 0.157
Mg27 0.576 0.145 0.234
Mg28 0.576 0.931 0.343
Mg29 0.589 0.431 0.855
Mg30 0.589 0.657 0.734
Mg31 0.645 0.069 0.911
Mg32 0.645 0.076 0.734
Mg33 0.657 0.424 0.069
Mg34 0.657 0.734 0.589
Mg35 0.734 0.589 0.657
Mg36 0.734 0.645 0.076
Mg37 0.766 0.424 0.855
Mg38 0.766 0.843 0.911
Mg39 0.843 0.431 0.076
Mg40 0.843 0.911 0.766
Mg41 0.855 0.589 0.431
Mg42 0.855 0.766 0.424
Mg43 0.911 0.645 0.069
Mg44 0.911 0.766 0.843
Mg45 0.924 0.157 0.569
Mg46 0.924 0.266 0.355
Mg47 0.931 0.089 0.355
Mg48 0.931 0.343 0.576
Zr1 0.125 0.250 0.375
Zr2 0.125 0.375 0.750
Zr3 0.250 0.375 0.125
Zr4 0.250 0.875 0.625
Zr5 0.375 0.125 0.250
Zr6 0.375 0.750 0.125
Zr7 0.625 0.250 0.875
Zr8 0.625 0.875 0.750
Zr9 0.750 0.125 0.375
Zr10 0.750 0.625 0.875
Zr11 0.875 0.625 0.250
Zr12 0.875 0.750 0.625

Calculated values
Symmetry: Ia-3d, No. 230
Raw total energy (eV for the cell shown): -167.83
Density (Mg/m³): 1.75

=====

Below is a relaxed TaGa2O crystal, with properties calculated at the PBE level.

Unit cell a=6.084 b=6.084 c=6.816 alpha=90.00 beta=90.00 gamma=90.00
Sites, in units of the cell vectors:
Ta1 0.000 0.000 0.000
Ta2 0.000 0.500 0.250
Ta3 0.500 0.000 0.750
Ta4 0.500 0.500 0.500
Ga1 0.165 0.250 0.625
Ga2 0.250 0.665 0.875
Ga3 0.250 0.835 0.375
Ga4 0.335 0.250 0.125
Ga5 0.665 0.750 0.125
Ga6 0.750 0.165 0.375
Ga7 0.750 0.335 0.875
Ga8 0.835 0.750 0.625
O1 0.000 0.000 0.500
O2 0.000 0.500 0.750
O3 0.500 0.000 0.250
O4 0.500 0.500 0.000

Calculated values
Symmetry: I-42d, No. 122
Density (Mg/m³): 8.86
Formation energy (no corrections) (meV per atom): -168